(1)
DFT (SCAN) results for a PBEsol-optimized structure of CoP4H10O16.

Unit cell a=5.2015 b=7.0487 c=8.2505 alpha=99.95 beta=98.20 gamma=92.20
With the nearest neighbours (Å) after each atom.
Space group P-1 (No. 2)
Asymmetric unit:
Co: 0.0000 0.0000 0.0000 [1 per cell]  6 O 2.07-2.12
P: 0.0422 0.3247 0.7581 [2 per cell]  4 O 1.54-1.57
P: 0.4305 0.8254 0.7748 [2 per cell]  4 O 1.53-1.57
H: 0.0152 0.6432 0.7667 [2 per cell]  1 O 1.10
H: 0.2365 0.1248 0.6023 [2 per cell]  1 O 1.01
H: 0.3396 0.3096 0.9706 [2 per cell]  1 O 1.05
H: 0.3546 0.9059 0.2522 [2 per cell]  1 O 1.08
H: 0.3913 0.4281 0.3413 [2 per cell]  1 O 1.01
O: 0.1026 0.4940 0.2739 [2 per cell]  1 H 1.10
O: 0.1044 0.2240 0.5846 [2 per cell]  1 H 1.01
O: 0.1230 0.8142 0.1679 [2 per cell]  1 H 1.38, 1 P 1.54
O: 0.1529 0.8167 0.8192 [2 per cell]  1 H 1.36
O: 0.2964 0.3949 0.8795 [2 per cell]  1 H 1.05
O: 0.3524 0.1645 0.0772 [2 per cell]  1 H 1.46, 1 P 1.53
O: 0.4443 0.6422 0.6399 [2 per cell]  1 H 1.01
O: 0.4666 0.0089 0.6942 [2 per cell]  1 H 1.08

Calculated values
Size of the total moment = 3.000 μB/f.u.
Total energy = -7.929 eV/atom

***

(2)
DFT (SCAN) results for a PBEsol-optimized structure of La3ZrNb.

Unit cell a=5.5146 b=5.5146 c=5.5146 alpha=90.00 beta=90.00 gamma=90.00
With the nearest neighbours (Å) after each atom.
Space group Pm-3m (No. 221)
Asymmetric unit:
La: 0.0000 0.0000 0.5000 [3 per cell]  2 Zr 2.76
Zr: 0.0000 0.0000 0.0000 [1 per cell]  6 La 2.76
Nb: 0.5000 0.5000 0.5000 [1 per cell]  12 La 3.90

Calculated values
ΔH_f (0 K) = 1.0232 eV/atom
Size of the total moment = 4.693 μB/f.u.
Total energy = -37.605 eV/atom

***

(3)
DFT (SCAN) results for a PBEsol-optimized structure of Li2TaPb.

Unit cell a=3.0099 b=3.0099 c=30.0738 alpha=90.00 beta=90.00 gamma=120.00
With the nearest neighbours (Å) after each atom.
Space group R-3m (No. 166, hexagonal axes)
Asymmetric unit:
Li: 0.0000 0.0000 0.2503 [6 per cell]  6 Li 3.01, 3 Ta 3.04, 3 Pb 3.06
Ta: 0.0000 0.0000 0.0000 [3 per cell]  6 Ta 3.01, 6 Li 3.04
Pb: 0.0000 0.0000 0.5000 [3 per cell]  6 Pb 3.01, 6 Li 3.06

Calculated values
ΔH_f (0 K) = 0.3043 eV/atom
Size of the total moment = 0.088 μB/f.u.
Total energy = -36.482 eV/atom

***

(4)
DFT (SCAN) results for a PBEsol-optimized structure of MnTl2Au.

Unit cell a=3.3119 b=3.3119 c=7.7858 alpha=90.00 beta=90.00 gamma=90.00
With the nearest neighbours (Å) after each atom.
Space group P4mm (No. 99)
Asymmetric unit:
Mn: 0.0000 0.0000 0.0000 [1 per cell]  4 Au 2.67
Tl: 0.0000 0.0000 0.5720 [1 per cell]  4 Au 3.11, 8 Tl 3.31-3.47, 1 Mn 3.33
Tl: 0.5000 0.5000 0.2432 [1 per cell]  4 Mn 3.01, 1 Au 3.18, 4 Tl 3.31
Au: 0.5000 0.5000 0.8343 [1 per cell]  4 Mn 2.67

Calculated values
ΔH_f (0 K) = -0.0703 eV/atom
Size of the total moment = 4.205 μB/f.u.
Total energy = -58.102 eV/atom

***

(5)
DFT (SCAN) results for a PBEsol-optimized structure of Y2MgF.

Unit cell a=7.2443 b=7.2443 c=7.2443 alpha=90.00 beta=90.00 gamma=90.00
With the nearest neighbours (Å) after each atom.
Space group Fm-3m (No. 225)
Asymmetric unit:
Y: 0.2500 0.2500 0.2500 [8 per cell]  4 F 3.14, 4 Mg 3.14
Mg: 0.0000 0.0000 0.0000 [4 per cell]  8 Y 3.14
F: 0.0000 0.0000 0.5000 [4 per cell]  8 Y 3.14

Calculated values
Size of the total moment = 0.000 μB/f.u.
Total energy = -16.565 eV/atom
Formation energy (no corrections) = -0.52 eV per atom

***

(6)
DFT (SCAN) results for a PBEsol-optimized structure of CoNiSe4.

Unit cell a=5.7896 b=5.7831 c=5.7766 alpha=90.00 beta=90.62 gamma=90.00
With the nearest neighbours (Å) after each atom.
Space group P2_1/c (No. 14)
Asymmetric unit:
Co: 0.0000 0.0000 0.0000 [2 per cell]  6 Se 2.35-2.37
Ni: 0.5000 0.0000 0.5000 [2 per cell]  6 Se 2.41-2.44
Se: 0.1228 0.1307 0.6318 [4 per cell]  2 Co 2.37, 1 Ni 2.44, 1 Se 2.56
Se: 0.3682 0.6245 0.6235 [4 per cell]  1 Co 2.35, 2 Ni 2.41, 1 Se 2.55

Calculated values
Size of the total moment = 0.003 μB/f.u.
Total energy = -19.204 eV/atom
Formation energy (no corrections) = -0.24 eV per atom

***

(7)
DFT (SCAN) results for a PBEsol-optimized structure of MgReAu2.

Unit cell a=2.7455 b=2.7455 c=8.6098 alpha=90.00 beta=90.00 gamma=90.00
With the nearest neighbours (Å) after each atom.
Space group P4mm (No. 99)
Asymmetric unit:
Mg: 0.0000 0.0000 0.0000 [1 per cell]  4 Mg 2.75, 4 Au 2.85, 4 Re 2.89
Re: 0.5000 0.5000 0.2488 [1 per cell]  4 Re 2.75, 4 Au 2.83, 4 Mg 2.89
Au: 0.0000 0.0000 0.4886 [1 per cell]  8 Au 2.75-3.02, 4 Re 2.83
Au: 0.5000 0.5000 0.7575 [1 per cell]  8 Au 2.75-3.02, 4 Mg 2.85

Calculated values
ΔH_f (0 K) = 0.0896 eV/atom
Size of the total moment = 0.000 μB/f.u.
Total energy = -53.507 eV/atom

***

(8)
DFT (SCAN) results for a PBEsol-optimized structure of CdAgMo3.

Unit cell a=4.7819 b=4.7819 c=4.7819 alpha=90.00 beta=90.00 gamma=90.00
With the nearest neighbours (Å) after each atom.
Space group Pm-3m (No. 221)
Asymmetric unit:
Cd: 0.0000 0.0000 0.0000 [1 per cell]  6 Mo 2.39
Ag: 0.5000 0.5000 0.5000 [1 per cell]  12 Mo 3.38
Mo: 0.0000 0.0000 0.5000 [3 per cell]  2 Cd 2.39

Calculated values
ΔH_f (0 K) = 2.7809 eV/atom
Size of the total moment = 0.000 μB/f.u.
Total energy = -30.507 eV/atom